[1]
YBeSb2Pt: relaxed, PBE.

Output
Crystal system: tetragonal
E: -19.0 eV/cell
ΔE_f (raw): 1.101 eV per atom

```
YBeSb2Pt
1.0
5.776 0.000 0.000
0.000 5.776 0.000
0.000 0.000 5.141
Y Be Sb Pt
1 1 2 1
Cartesian
0.000 0.000 0.000
2.888 2.888 2.570
0.000 2.888 0.000
2.888 0.000 0.000
0.000 0.000 2.570
```

[2]
ScBePt2: relaxed, PBE.

Output
Distance to the lowest polymorph of the same formula: 38.56 kJ/mol of atoms
Crystal system: cubic
E: -24.3 eV/cell

```
ScBePt2
1.0
0.000 3.144 3.144
3.144 0.000 3.144
3.144 3.144 0.000
Sc Be Pt
1 1 2
Cartesian
0.000 0.000 0.000
4.716 4.716 4.716
1.572 1.572 1.572
3.144 3.144 3.144
```

[3]
ScBe2Pt: relaxed, PBE.

Output
Distance to the lowest polymorph of the same formula: 24.89 kJ/mol of atoms
Crystal system: tetragonal
E: -21.4 eV/cell

```
ScBe2Pt
1.0
-2.005 2.005 3.426
2.005 -2.005 3.426
2.005 2.005 -3.426
Sc Be Pt
1 2 1
Cartesian
0.000 0.000 0.000
2.005 0.000 1.713
0.000 0.000 3.426
0.000 2.005 1.713
```

[4]
Sc3BePt: relaxed, PBE.

Output
Distance to the lowest polymorph of the same formula: 0.00 kJ/mol of atoms
Crystal system: cubic
E: -28.4 eV/cell

```
Sc3BePt
1.0
4.674 0.000 0.000
0.000 4.674 0.000
0.000 0.000 4.674
Sc Be Pt
3 1 1
Cartesian
0.000 0.000 2.337
0.000 2.337 0.000
2.337 0.000 0.000
0.000 0.000 0.000
2.337 2.337 2.337
```

[5]
ScBePt: relaxed, PBE.

Output
Distance to the lowest polymorph of the same formula: 0.75 kJ/mol of atoms
Crystal system: hexagonal
E: -18.5 eV/cell

```
ScBePt
1.0
3.974 0.000 0.000
-1.987 3.442 0.000
0.000 0.000 3.495
Sc Be Pt
1 1 1
Cartesian
0.000 0.000 0.000
1.987 1.147 1.748
0.000 2.295 1.748
```

[6]
ScBe9Pt2: relaxed, PBE.

Output
Distance to the lowest polymorph of the same formula: 0.40 kJ/mol of atoms
Crystal system: hexagonal
E: -114.7 eV/cell

```
ScBe9Pt2
1.0
4.418 0.000 0.000
-2.209 3.826 0.000
0.000 0.000 14.249
Sc Be Pt
2 18 4
Cartesian
0.000 2.551 3.562
2.209 1.275 10.687
0.000 0.000 0.000
0.000 0.000 3.562
0.000 0.000 7.124
0.000 0.000 10.687
0.000 1.281 8.864
0.000 1.281 12.509
-1.100 3.186 8.864
-1.100 3.186 12.509
0.000 2.551 10.687
1.109 0.641 1.740
1.109 0.641 5.384
1.100 3.186 8.864
1.100 3.186 12.509
2.209 1.275 3.562
3.309 0.641 1.740
3.309 0.641 5.384
2.209 2.545 1.740
2.209 2.545 5.384
0.000 2.551 0.656
0.000 2.551 6.468
2.209 1.275 7.781
2.209 1.275 13.592
```

[7]
ScBe2Pt: relaxed, PBE.

Output
Distance to the lowest polymorph of the same formula: 0.00 kJ/mol of atoms
Crystal system: cubic
E: -22.4 eV/cell

```
ScBe2Pt
1.0
0.000 2.938 2.938
2.938 0.000 2.938
2.938 2.938 0.000
Sc Be Pt
1 2 1
Cartesian
0.000 0.000 0.000
1.469 1.469 1.469
4.407 4.407 4.407
2.938 2.938 2.938
```

[8]
ScBePt: relaxed, PBE.

Output
Distance to the lowest polymorph of the same formula: 80.50 kJ/mol of atoms
Crystal system: cubic
E: -16.0 eV/cell

```
ScBePt
1.0
0.000 3.037 3.037
3.037 0.000 3.037
3.037 3.037 0.000
Sc Be Pt
1 1 1
Cartesian
0.000 0.000 0.000
1.518 1.518 1.518
4.555 4.555 4.555
```